Density functional theory data (GGA-PBE) for a relaxed ZrNp3Tl4S8 crystal.

Cell and atoms, written as extended XYZ:
```
16
Lattice="3.9701 2.2922 7.5936 -3.9701 2.2922 7.5936 0.0000 -4.5843 7.5936" Properties=species:S:1:pos:R:3 pbc="T T T"
Zr 0.0000 0.0000 0.0000
Np -1.9851 -1.1461 7.5936
Np -1.9851 1.1461 15.1871
Np 0.0000 2.2922 7.5936
Tl -3.9701 0.0000 11.3903
Tl -1.9851 1.1461 3.7968
Tl 1.9851 1.1461 3.7968
Tl 0.0000 0.0000 11.3903
S 0.0000 -2.3866 9.0595
S -2.0669 1.1933 9.0595
S -2.0669 -1.1933 13.7212
S 0.0000 0.0000 6.1056
S 0.0000 0.0000 16.6751
S 2.0669 1.1933 9.0594
S 2.0669 -1.1933 13.7212
S 0.0000 2.3866 13.7212
```

Summary:
* formation energy (no corrections): -16.73 eV per formula unit
* crystal system: trigonal
* magnetic moment: 0.8141 μB/atom

Density functional theory data (GGA-PBE) for a relaxed CePm2NpSb4 crystal.

Cell and atoms, written as extended XYZ:
```
8
Lattice="7.7261 0.0000 0.0000 0.0000 4.4624 0.0000 -2.5793 0.0000 7.3339" Properties=species:S:1:pos:R:3 pbc="T T T"
Ce 0.0000 0.0000 0.0000
Pm -1.2897 2.2312 3.6669
Pm 2.5734 0.0000 3.6669
Np 3.8631 2.2312 0.0000
Sb 1.3036 2.2312 1.8102
Sb 0.0164 0.0000 5.5351
Sb 5.1304 0.0000 1.7988
Sb 3.8432 2.2312 5.5237
```

Summary:
* formation energy (no corrections): -7.21 eV per formula unit
* crystal system: monoclinic
* magnetic moment: 0.5915 μB/atom

Density functional theory data (GGA-PBE) for a relaxed AcBi2SbAu2 crystal.

Cell and atoms, written as extended XYZ:
```
12
Lattice="5.7278 0.0000 0.0000 0.0000 5.7278 0.0000 0.0000 0.0000 11.9257" Properties=species:S:1:pos:R:3 pbc="T T T"
Ac 0.0000 0.0000 0.0000
Ac 2.8639 2.8639 5.9628
Bi 0.0000 2.8639 2.9814
Bi 0.0000 2.8639 8.9443
Bi 2.8639 0.0000 2.9814
Bi 2.8639 0.0000 8.9443
Sb 0.0000 0.0000 5.9628
Sb 2.8639 2.8639 0.0000
Au 0.0000 0.0000 3.0996
Au 0.0000 0.0000 8.8261
Au 2.8639 2.8639 2.8633
Au 2.8639 2.8639 9.0624
```

Summary:
* formation energy (no corrections): -0.77 eV per formula unit
* crystal system: tetragonal
* magnetic moment: 0.0000 μB/atom

Question: magnetic moment of number 1 (ZrNp3Tl4S8)?
Answer: 0.8141 μB/atom

Question: The lowest formation energy (no corrections) belongs to which entry?
Answer: ZrNp3Tl4S8

Question: Which formula does entry 1 have?
Answer: ZrNp3Tl4S8

Question: magnetic moment of number 2 (CePm2NpSb4)?
Answer: 0.5915 μB/atom